No. 1
DFT (PBE) results for Li2CeCu after structural relaxation.

Cell: 2.8639 2.8639 10.4091 Å, 82.09 82.09 60.00°
Sites, in units of the cell vectors:
1 Li 0.0997 0.0997 0.7008
2 Li 0.9003 0.9003 0.2992
3 Ce 0.0000 0.0000 0.0000
4 Cu 0.5000 0.5000 0.5000

Summary:
The total energy comes out at -13.3 eV/cell. Its crystal system is trigonal. For the formation energy, the calculation gives 14 kJ/mol of atoms. The calculation puts the magnetization at 0.00 μB per atom.

No. 2
DFT (PBE) results for LiCeCu4 after structural relaxation.

Cell: 5.0912 5.0912 5.0912 Å, 60.00 60.00 60.00°
Each line ends with the local moment (μB).
Sites, in units of the cell vectors:
1 Cu 0.1187 0.6271 0.6271  0.00
2 Cu 0.6271 0.1187 0.6271  0.00
3 Cu 0.6271 0.6271 0.1187  0.00
4 Cu 0.6271 0.6271 0.6271  0.00
5 Li 0.0000 0.0000 0.0000  0.00
6 Ce 0.2500 0.2500 0.2500  0.26

Summary:
The total energy comes out at -25.0 eV/cell. Its crystal system is cubic. For the formation energy, the calculation gives -12 kJ/mol of atoms. The calculation puts the magnetization at 0.05 μB per atom.

No. 3
DFT (PBE) results for LiCeCu2 after structural relaxation.

Cell: 3.0678 4.8924 4.8924 Å, 90.00 90.00 90.00°
Each line ends with the local moment (μB).
Sites, in units of the cell vectors:
1 Li 0.5000 0.5000 0.5000  0.00
2 Ce 0.5000 0.0000 0.0000  0.65
3 Cu 0.0000 0.0000 0.5000  0.00
4 Cu 0.0000 0.5000 0.0000  0.00

Summary:
The total energy comes out at -15.8 eV/cell. Its crystal system is tetragonal. For the formation energy, the calculation gives 6 kJ/mol of atoms. The calculation puts the magnetization at 0.20 μB per atom.

No. 4
DFT (PBE) results for Li3CeCu8 after structural relaxation.

Cell: 5.0166 5.0166 8.6303 Å, 73.10 73.10 60.00°
Each line ends with the local moment (μB).
Sites, in units of the cell vectors:
1 Cu 0.4333 0.9374 0.6919  0.00
2 Cu 0.9374 0.4333 0.6919  0.00
3 Cu 0.4409 0.4409 0.1763  0.01
4 Cu 0.9420 0.4409 0.1763  0.01
5 Cu 0.9374 0.9374 0.6919  0.00
6 Cu 0.1869 0.1869 0.4394  0.00
7 Cu 0.6888 0.6888 0.9337  0.01
8 Cu 0.4409 0.9420 0.1763  0.01
9 Li 0.3733 0.3733 0.8800  0.00
10 Li 0.4874 0.4874 0.5377  0.01
11 Li 0.0064 0.0064 0.9809  0.01
12 Ce 0.8754 0.8754 0.3739  0.63

Summary:
The total energy comes out at -45.3 eV/cell. Its crystal system is trigonal. For the formation energy, the calculation gives -7 kJ/mol of atoms. The calculation puts the magnetization at 0.07 μB per atom.

No. 5
DFT (PBE) results for LiCeCu after structural relaxation.

Cell: 3.2242 3.2242 6.0191 Å, 105.54 105.54 90.00°
Each line ends with the local moment (μB).
Sites, in units of the cell vectors:
1 Cu 0.6889 0.6889 0.3778  0.02
2 Ce 0.0137 0.0137 0.0274  0.85
3 Li 0.2974 0.2974 0.5947  0.02

Summary:
The total energy comes out at -11.7 eV/cell. Its crystal system is tetragonal. For the formation energy, the calculation gives 8 kJ/mol of atoms. The calculation puts the magnetization at 0.39 μB per atom.

No. 6
DFT (PBE) results for Li2CeCu9 after structural relaxation.

Cell: 4.9947 4.9947 8.6354 Å, 73.19 73.19 60.00°
Each line ends with the local moment (μB).
Sites, in units of the cell vectors:
1 Cu 0.4143 0.9160 0.2555  0.01
2 Cu 0.4143 0.4143 0.2555  0.01
3 Cu 0.0840 0.5857 0.7445  0.01
4 Cu 0.5000 0.5000 0.5000  0.00
5 Cu 0.3326 0.3326 0.0022  0.00
6 Cu 0.9160 0.4143 0.2555  0.01
7 Cu 0.6674 0.6674 0.9978  0.00
8 Cu 0.5857 0.5857 0.7445  0.01
9 Cu 0.5857 0.0840 0.7445  0.01
10 Ce 0.0000 0.0000 0.0000  0.66
11 Li 0.1494 0.1494 0.5517  0.00
12 Li 0.8506 0.8506 0.4483  0.00

Summary:
The total energy comes out at -47.7 eV/cell. Its crystal system is trigonal. For the formation energy, the calculation gives -9 kJ/mol of atoms. The calculation puts the magnetization at 0.07 μB per atom.

No. 7
DFT (PBE) results for LiCeCu5 after structural relaxation.

Cell: 5.0538 8.2196 10.3018 Å, 90.00 90.00 90.00°
Each line ends with the local moment (μB).
Sites, in units of the cell vectors:
1 Cu 0.7500 0.9091 0.5155  0.00
2 Cu 0.2500 0.0909 0.4845  0.00
3 Cu 0.7500 0.5558 0.6002  0.00
4 Cu 0.0039 0.5677 0.8098  0.01
5 Cu 0.7500 0.3172 0.7518  0.00
6 Cu 0.5039 0.4323 0.1902  0.01
7 Cu 0.5039 0.9323 0.3098  0.01
8 Cu 0.2500 0.9442 0.1002  0.00
9 Cu 0.7500 0.8172 0.7482  0.00
10 Cu 0.4961 0.5677 0.8098  0.01
11 Cu 0.2500 0.6828 0.2482  0.00
12 Cu 0.7500 0.0558 0.8998  0.00
13 Cu 0.2500 0.1828 0.2518  0.00
14 Cu 0.4961 0.0677 0.6902  0.01
15 Cu 0.7500 0.4091 0.9845  0.00
16 Cu 0.0039 0.0677 0.6902  0.01
17 Cu 0.2500 0.4442 0.3998  0.00
18 Cu 0.9961 0.9323 0.3098  0.01
19 Cu 0.2500 0.5909 0.0155  0.00
20 Cu 0.9961 0.4323 0.1902  0.01
21 Li 0.2500 0.3585 0.6381  0.00
22 Li 0.7500 0.6415 0.3619  0.00
23 Li 0.7500 0.1415 0.1381  0.00
24 Li 0.2500 0.8585 0.8619  0.00
25 Ce 0.7500 0.7541 0.0643  0.53
26 Ce 0.2500 0.2459 0.9357  0.53
27 Ce 0.7500 0.2541 0.4357  0.53
28 Ce 0.2500 0.7459 0.5643  0.53

Summary:
The total energy comes out at -116.4 eV/cell. Its crystal system is orthorhombic. For the formation energy, the calculation gives -11 kJ/mol of atoms. The calculation puts the magnetization at 0.10 μB per atom.

No. 8
DFT (PBE) results for LiCeCu10 after structural relaxation.

Cell: 4.1120 4.9905 8.5784 Å, 90.00 90.00 90.00°
Each line ends with the local moment (μB).
Sites, in units of the cell vectors:
1 Ce 0.0000 0.0000 0.0000  0.67
2 Li 0.0000 0.5000 0.5000  0.00
3 Cu 0.5000 0.5000 0.0000  0.00
4 Cu 0.5000 0.0000 0.5000  0.00
5 Cu 0.0000 0.5000 0.8141  0.00
6 Cu 0.5000 0.7514 0.2518  0.00
7 Cu 0.0000 0.0000 0.3442  0.00
8 Cu 0.5000 0.2486 0.2518  0.00
9 Cu 0.5000 0.2486 0.7482  0.00
10 Cu 0.0000 0.5000 0.1859  0.00
11 Cu 0.5000 0.7514 0.7482  0.00
12 Cu 0.0000 0.0000 0.6558  0.00

Summary:
The total energy comes out at -49.4 eV/cell. Its crystal system is orthorhombic. For the formation energy, the calculation gives -5 kJ/mol of atoms. The calculation puts the magnetization at 0.07 μB per atom.

No. 9
DFT (PBE) results for LiCeCu2P2 after structural relaxation.

Cell: 4.0074 4.0074 6.7481 Å, 90.00 90.00 120.00°
Each line ends with the local moment (μB).
Sites, in units of the cell vectors:
1 Cu 0.3333 0.6667 0.6641  0.00
2 Cu 0.6667 0.3333 0.3359  0.00
3 Ce 0.0000 0.0000 0.0000  0.72
4 P 0.3333 0.6667 0.2688  -0.01
5 P 0.6667 0.3333 0.7312  -0.01
6 Li 0.0000 0.0000 0.5000  0.00

Summary:
The total energy comes out at -31.5 eV/cell. Its crystal system is trigonal. For the formation energy, the calculation gives -75 kJ/mol of atoms. The calculation puts the magnetization at 0.14 μB per atom.

No. 10
DFT (PBE) results for LiCeCuPd after structural relaxation.

Cell: 4.7853 4.7853 4.7853 Å, 60.00 60.00 60.00°
Each line ends with the local moment (μB).
Sites, in units of the cell vectors:
1 Pd 0.7500 0.7500 0.7500  -0.01
2 Li 0.5000 0.5000 0.5000  0.01
3 Cu 0.2500 0.2500 0.2500  0.00
4 Ce 0.0000 0.0000 0.0000  0.66

Summary:
The total energy comes out at -18.1 eV/cell. Its crystal system is cubic. For the formation energy, the calculation gives -22 kJ/mol of atoms. The calculation puts the magnetization at 0.21 μB per atom.

No. 11
DFT (PBE) results for LiCe2Cu2S6 after structural relaxation.

Cell: 6.6024 6.6024 7.7223 Å, 64.69 64.69 60.00°
Each line ends with the local moment (μB).
Sites, in units of the cell vectors:
1 Cu 0.4335 0.4335 0.6994  -0.01
2 Cu 0.5665 0.5665 0.3006  -0.01
3 Ce 0.7972 0.7972 0.6085  0.61
4 Ce 0.2028 0.2028 0.3915  0.61
5 S 0.2410 0.7995 0.7186  -0.01
6 S 0.2410 0.2410 0.7186  -0.01
7 S 0.2005 0.7590 0.2814  -0.01
8 S 0.7590 0.2005 0.2814  -0.01
9 S 0.7590 0.7590 0.2814  -0.01
10 S 0.7995 0.2410 0.7186  -0.01
11 Li 0.0000 0.0000 0.0000  0.00

Summary:
The total energy comes out at -55.8 eV/cell. Its crystal system is trigonal. The uncorrected formation energy is -827 meV/atom. The calculation puts the magnetization at 0.11 μB per atom.

No. 12
DFT (PBE) results for Li3Ce3CuS8 after structural relaxation.

Cell: 7.9489 7.8239 7.6111 Å, 121.40 90.00 120.53°
Each line ends with the local moment (μB).
Sites, in units of the cell vectors:
1 S 0.7570 0.5139 0.7623  -0.01
2 S 0.2487 0.9972 0.2533  -0.02
3 S 0.2229 0.4457 0.7226  -0.02
4 S 0.7484 0.9972 0.2533  -0.02
5 S 0.2430 0.4861 0.2377  -0.01
6 S 0.7513 0.0028 0.7467  -0.02
7 S 0.2516 0.0028 0.7467  -0.02
8 S 0.7771 0.5543 0.2774  -0.02
9 Li 0.0000 0.0000 0.0000  0.00
10 Li 0.5000 0.5000 0.0000  0.00
11 Li 0.0000 0.5000 0.0000  0.00
12 Cu 0.0000 0.0000 0.5000  -0.03
13 Ce 0.5000 0.0000 0.5000  0.27
14 Ce 0.0000 0.5000 0.5000  0.30
15 Ce 0.5000 0.5000 0.5000  0.30

Summary:
The total energy comes out at -81.5 eV/cell. Its crystal system is monoclinic. The uncorrected formation energy is -1390 meV/atom. The calculation puts the magnetization at 0.05 μB per atom.